Record 1
Here is a relaxed Tm5Cd3 crystal from the Alexandria database. Energies are from PBE.

Cell: 3.5470 3.5470 17.0118 Å, 90.00 90.00 90.00°
Last column: nearest neighbours and their distance in Å.
Space group P4/mmm (No. 123)
Inequivalent atoms, fractional coordinates:
Tm 0.0000 0.0000 0.0000 (multiplicity 1)  8 Cd 3.19, 4 Tm 3.55
Tm 0.0000 0.0000 0.2362 (multiplicity 2)  4 Cd 3.24, 8 Tm 3.50-3.55
Tm 0.5000 0.5000 0.3795 (multiplicity 2)  4 Cd 3.24, 8 Tm 3.50-3.55
Cd 0.0000 0.0000 0.5000 (multiplicity 1)  8 Tm 3.24, 4 Cd 3.55
Cd 0.5000 0.5000 0.1160 (multiplicity 2)  8 Tm 3.19-3.24, 4 Cd 3.55

Output
* DFT formation energy: -210 meV/atom

Record 2
Here is a relaxed Nb2CrB2 crystal from the Alexandria database. Energies are from PBE.

Cell: 5.9604 5.9604 3.2577 Å, 90.00 90.00 90.00°
Last column: nearest neighbours and their distance in Å.
Space group P4/mbm (No. 127)
Inequivalent atoms, fractional coordinates:
Nb 0.1809 0.3191 0.0000 (multiplicity 4)  6 B 2.40-2.42
Cr 0.0000 0.0000 0.5000 (multiplicity 2)  4 B 2.41
B 0.1102 0.6102 0.5000 (multiplicity 4)  1 B 1.86

Output
* DFT formation energy: -642 meV/atom

Record 3
Here is a relaxed Zr2InW crystal from the Alexandria database. Energies are from PBE.

Cell: 10.3157 3.0717 5.3122 Å, 90.00 101.07 90.00°
Last column: nearest neighbours and their distance in Å.
Space group Cm (No. 8)
Inequivalent atoms, fractional coordinates:
Zr 0.0000 0.0000 0.0000 (multiplicity 2)  3 In 3.02-3.07, 4 W 3.03-3.11, 5 Zr 3.06-3.29
Zr 0.2302 0.0000 0.7125 (multiplicity 2)  3 W 2.99-3.11, 4 In 3.05-3.11, 5 Zr 3.06-3.29
In 0.2535 0.5000 0.2282 (multiplicity 2)  3 W 2.96-3.30, 7 Zr 3.02-3.11, 2 In 3.07
W 0.4866 0.0000 0.4868 (multiplicity 2)  3 In 2.96-3.30, 7 Zr 2.99-3.11, 2 W 3.07

Output
* DFT formation energy: 141 meV/atom

Record 4
Here is a relaxed CoTcSb2Te crystal from the Alexandria database. Energies are from PBE.

Cell: 4.7924 4.7924 5.1561 Å, 90.00 90.00 90.00°
Last column: nearest neighbours and their distance in Å.
Space group P4/mmm (No. 123)
Inequivalent atoms, fractional coordinates:
Co 0.0000 0.0000 0.0000 (multiplicity 1)  4 Sb 2.40, 2 Te 2.58
Tc 0.5000 0.5000 0.5000 (multiplicity 1)  4 Te 3.39, 8 Sb 3.52
Sb 0.0000 0.5000 0.0000 (multiplicity 2)  2 Co 2.40
Te 0.0000 0.0000 0.5000 (multiplicity 1)  2 Co 2.58

Output
* formation energy (no corrections): 4.48 eV per formula unit

Record 5
Here is a relaxed TaFeSi crystal from the Alexandria database. Energies are from PBE.

Cell: 2.8364 2.8364 9.8886 Å, 90.00 90.00 90.00°
Last column: nearest neighbours and their distance in Å.
Space group I4mm (No. 107)
Inequivalent atoms, fractional coordinates:
Ta 0.0000 0.0000 0.0000 (multiplicity 2)  4 Fe 2.73, 5 Si 2.77-3.03, 4 Ta 2.84
Fe 0.0000 0.0000 0.6873 (multiplicity 2)  4 Si 2.33
Si 0.0000 0.0000 0.3063 (multiplicity 2)  4 Fe 2.33

Output
* formation energy (no corrections): -1.04 eV per formula unit

Record 6
Here is a relaxed In3Sb2Au6 crystal from the Alexandria database. Energies are from PBE.

Cell: 6.5121 7.6046 10.1121 Å, 90.00 92.60 90.00°
Last column: nearest neighbours and their distance in Å.
Space group P2_1/c (No. 14)
Inequivalent atoms, fractional coordinates:
In 0.0000 0.0000 0.0000 (multiplicity 2)  4 Au 2.81-3.14
In 0.4679 0.0796 0.1823 (multiplicity 4)  7 Au 2.79-3.02
Sb 0.2107 0.5820 0.9397 (multiplicity 4)  5 Au 2.81-3.06
Au 0.1775 0.1165 0.7011 (multiplicity 4)  3 Au 2.84-2.93, 2 Sb 2.86-3.06, 2 In 2.95-3.00
Au 0.1979 0.7325 0.6803 (multiplicity 4)  3 In 2.81-2.95, 2 Sb 2.82-2.86, 3 Au 2.91-3.07
Au 0.3764 0.2405 0.9388 (multiplicity 4)  3 In 2.79-3.02, 1 Sb 2.81, 2 Au 2.84-3.07

Output
* formation energy (no corrections): -0.89 eV per formula unit

Record 7
Here is a relaxed Tb4BeSe3 crystal from the Alexandria database. Energies are from PBE.

Cell: 8.3511 11.5686 3.9861 Å, 90.00 90.00 90.00°
Last column: nearest neighbours and their distance in Å.
Space group Cmmm (No. 65)
Inequivalent atoms, fractional coordinates:
Tb 0.0000 0.2403 0.0000 (multiplicity 4)  1 Be 2.78, 5 Se 2.89-3.00
Tb 0.2362 0.0000 0.5000 (multiplicity 4)  2 Be 2.80, 4 Se 2.89-2.97
Be 0.0000 0.0000 0.0000 (multiplicity 2)  6 Tb 2.78-2.80
Se 0.0000 0.5000 0.0000 (multiplicity 2)  6 Tb 2.97-3.00
Se 0.2500 0.2500 0.5000 (multiplicity 4)  6 Tb 2.89

Output
* formation energy (no corrections): -10.66 eV per formula unit

Record 8
Here is a relaxed Ba3Na3Sr crystal from the Alexandria database. Energies are from PBE.

Cell: 9.9273 9.9273 9.9273 Å, 90.00 90.00 90.00°
Last column: nearest neighbours and their distance in Å.
Space group Pm-3n (No. 223)
Inequivalent atoms, fractional coordinates:
Ba 0.0000 0.2500 0.5000 (multiplicity 6)  4 Na 3.51
Na 0.0000 0.5000 0.2500 (multiplicity 6)  4 Ba 3.51
Sr 0.0000 0.0000 0.0000 (multiplicity 2)  12 Ba 5.55, 12 Na 5.55

Output
* DFT formation energy: 512 meV/atom

Record 9
Here is a relaxed EuTmSbAu crystal from the Alexandria database. Energies are from PBE.

Cell: 7.4662 7.4662 7.4662 Å, 90.00 90.00 90.00°
Last column: nearest neighbours and their distance in Å.
Space group F-43m (No. 216)
Inequivalent atoms, fractional coordinates:
Eu 0.0000 0.0000 0.0000 (multiplicity 4)  4 Au 3.23, 4 Sb 3.23
Tm 0.0000 0.0000 0.5000 (multiplicity 4)  4 Sb 3.23, 4 Au 3.23
Sb 0.2500 0.2500 0.2500 (multiplicity 4)  4 Tm 3.23, 4 Eu 3.23
Au 0.2500 0.2500 0.7500 (multiplicity 4)  4 Tm 3.23, 4 Eu 3.23

Output
* formation energy (no corrections): -3.11 eV per formula unit

Record 10
Here is a relaxed PrPuCu crystal from the Alexandria database. Energies are from PBE.

Cell: 3.5425 3.5425 12.2091 Å, 90.00 90.00 90.00°
Last column: nearest neighbours and their distance in Å.
Space group I4mm (No. 107)
Inequivalent atoms, fractional coordinates:
Pr 0.0000 0.0000 0.0000 (multiplicity 2)  4 Cu 3.09
Pu 0.0000 0.0000 0.7161 (multiplicity 2)  4 Cu 3.00
Cu 0.0000 0.0000 0.3520 (multiplicity 2)  4 Pu 3.00, 4 Pr 3.09

Output
* DFT formation energy: 100 meV/atom

Record 11
Here is a relaxed LiCuW2 crystal from the Alexandria database. Energies are from PBE.

Cell: 2.5876 4.5537 5.0608 Å, 90.00 100.72 90.00°
Last column: nearest neighbours and their distance in Å.
Space group P2/m (No. 10)
Inequivalent atoms, fractional coordinates:
Li 0.0000 0.0000 0.0000 (multiplicity 1)  2 Li 2.59, 2 Cu 2.62, 4 W 2.72
Cu 0.5000 0.0000 0.5000 (multiplicity 1)  2 Cu 2.59, 2 Li 2.62, 4 W 2.76
W 0.2294 0.5000 0.7502 (multiplicity 2)  4 W 2.59-2.65, 2 Li 2.72, 2 Cu 2.76

Output
* DFT formation energy: 445 meV/atom

Record 12
Here is a relaxed Ho2VHg crystal from the Alexandria database. Energies are from PBE.

Cell: 3.3411 3.3411 32.2247 Å, 90.00 90.00 120.00°
Last column: nearest neighbours and their distance in Å.
Space group R-3m (No. 166, hexagonal axes)
Inequivalent atoms, fractional coordinates:
Ho 0.0000 0.0000 0.0879 (multiplicity 6)  1 V 2.83
V 0.0000 0.0000 0.0000 (multiplicity 3)  2 Ho 2.83
Hg 0.0000 0.0000 0.5000 (multiplicity 3)  6 Ho 3.19, 6 Hg 3.34

Output
* DFT formation energy: 489 meV/atom

Quick rundown of total moment, same order as above: 0.169, 0.000, 0.000, 0.465, 0.000, 0.000, 0.000, 0.121, 1.922, 2.057, 0.000, 0.859 μB/atom